## i
Material: PaMo2
Method: DFT, PBE-GGA
State: relaxed

Cell lengths 3.1680, 3.1680, 11.4718 Å; angles 90.00, 90.00, 90.00 degrees
Space group I4/mmm (No. 139)
Symmetry-distinct sites (fractional):
Pa  0.0000  0.0000  0.0000 (multiplicity 2)
Mo  0.0000  0.0000  0.3119 (multiplicity 4)

Total magnetic moment in μB/f.u.: 0.0

=====

## ii
Material: PaMo2
Method: DFT, PBE-GGA
State: relaxed

Cell lengths 7.3208, 5.1851, 3.1720 Å; angles 90.00, 106.37, 90.00 degrees
Space group C2/m (No. 12)
Symmetry-distinct sites (fractional):
Pa  0.0000  0.0000  0.0000 (multiplicity 2)
Mo  0.1667  0.5000  0.4064 (multiplicity 4)

Total magnetic moment in μB/f.u.: 0.0

=====

The energy of each structure relative to the most stable one, in meV per atom, is as follows: i 0; ii 110.

=====

## i
Material: Pa2MoPb
Method: DFT, PBE-GGA
State: relaxed

Cell lengths 7.2876, 7.2876, 7.2876 Å; angles 90.00, 90.00, 90.00 degrees
Space group Fm-3m (No. 225)
Symmetry-distinct sites (fractional):
Pa  0.2500  0.2500  0.2500 (multiplicity 8)
Mo  0.0000  0.0000  0.0000 (multiplicity 4)
Pb  0.0000  0.0000  0.5000 (multiplicity 4)

Total magnetic moment in μB/f.u.: 0.0

=====

## ii
Material: Pa2MoPb
Method: DFT, PBE-GGA
State: relaxed

Cell lengths 3.3149, 3.3149, 8.8205 Å; angles 90.00, 90.00, 90.00 degrees
Space group P4/mmm (No. 123)
Symmetry-distinct sites (fractional):
Pa  0.0000  0.0000  0.2061 (multiplicity 2)
Mo  0.5000  0.5000  0.0000 (multiplicity 1)
Pb  0.5000  0.5000  0.5000 (multiplicity 1)

Total magnetic moment in μB/f.u.: 0.0

=====

The energy of each structure relative to the most stable one, in meV per atom, is as follows: i 368; ii 0.

=====

## i
Material: Pa2MoPb
Method: DFT, PBE-GGA
State: relaxed

Cell lengths 3.9585, 3.9585, 23.9667 Å; angles 90.00, 90.00, 120.00 degrees
Space group R-3m (No. 166, hexagonal axes)
Symmetry-distinct sites (fractional):
Pa  0.0000  0.0000  0.2309 (multiplicity 6)
Mo  0.0000  0.0000  0.5000 (multiplicity 3)
Pb  0.0000  0.0000  0.0000 (multiplicity 3)

Total magnetic moment in μB/f.u.: 0.0

=====

## ii
Material: Pa2MoPb
Method: DFT, PBE-GGA
State: relaxed

Cell lengths 4.4872, 4.4872, 4.5269 Å; angles 90.00, 90.00, 90.00 degrees
Space group P4/mmm (No. 123)
Symmetry-distinct sites (fractional):
Pa  0.0000  0.5000  0.0000 (multiplicity 2)
Mo  0.0000  0.0000  0.5000 (multiplicity 1)
Pb  0.5000  0.5000  0.5000 (multiplicity 1)

Total magnetic moment in μB/f.u.: 0.0

=====

The energy of each structure relative to the most stable one, in meV per atom, is as follows: i 159; ii 0.

=====

## i
Material: PaMoPt2
Method: DFT, PBE-GGA
State: relaxed

Cell lengths 4.1097, 4.1097, 4.2587 Å; angles 90.00, 90.00, 90.00 degrees
Space group P4/mmm (No. 123)
Symmetry-distinct sites (fractional):
Pa  0.0000  0.0000  0.0000 (multiplicity 1)
Mo  0.5000  0.5000  0.0000 (multiplicity 1)
Pt  0.0000  0.5000  0.5000 (multiplicity 2)

Total magnetic moment in μB/f.u.: 0.0

=====

## ii
Material: PaMoPt2
Method: DFT, PBE-GGA
State: relaxed

Cell lengths 4.5241, 4.5241, 13.4569 Å; angles 90.00, 90.00, 120.00 degrees
Space group R-3m (No. 166, hexagonal axes)
Symmetry-distinct sites (fractional):
Pa  0.0000  0.0000  0.0000 (multiplicity 3)
Mo  0.0000  0.0000  0.5000 (multiplicity 3)
Pt  0.0000  0.0000  0.2167 (multiplicity 6)

Total magnetic moment in μB/f.u.: 1.1

=====

The energy of each structure relative to the most stable one, in meV per atom, is as follows: i 0; ii 293.